Material: NiWBr2
Method: DFT, PBE
State: optimized geometry

Properties
As for the symmetry: Cmmm. The calculation puts the uncorrected formation energy at 1022 meV/atom. Its density of states at the Fermi level is 4.2 states/eV/f.u.

Cell: 5.9633 5.9633 3.0487 Å, 59.29 59.29 87.03°
Positions (direct):
Br (0.0000, 0.0000, 0.0000)
Br (0.5000, 0.5000, 0.0000)
Ni (0.5000, 0.0000, 0.5000)
W (0.0000, 0.5000, 0.5000)


Material: NiW2Br
Method: DFT, PBE
State: optimized geometry

Properties
As for the symmetry: P2/m. The calculation puts the uncorrected formation energy at 995 meV/atom. Its density of states at the Fermi level is 4.3 states/eV/f.u.

Cell: 4.2308 2.8726 5.3965 Å, 78.17 90.00 90.00°
Positions (direct):
Br (0.5000, 0.2500, 0.2500)
Ni (0.5000, 0.7500, 0.7500)
W (0.0000, 0.0396, 0.9738)
W (0.0000, 0.4604, 0.5262)


Material: NiW2Br
Method: DFT, PBE
State: optimized geometry

Properties
As for the symmetry: P4mm. The calculation puts the uncorrected formation energy at 601 meV/atom. Its density of states at the Fermi level is 4.9 states/eV/f.u.

Cell: 3.2407 3.2407 6.3988 Å, 90.00 90.00 90.00°
Positions (direct):
Br (0.0000, 0.0000, 0.5433)
Ni (0.5000, 0.5000, 0.7773)
W (0.0000, 0.0000, 0.9844)
W (0.5000, 0.5000, 0.1950)


Material: NiW2Br
Method: DFT, PBE
State: optimized geometry

Properties
As for the symmetry: Cmm2. The calculation puts the uncorrected formation energy at 612 meV/atom. Its density of states at the Fermi level is 3.4 states/eV/f.u.

Cell: 2.9065 2.9065 8.5019 Å, 90.00 90.00 112.09°
Positions (direct):
Br (0.0000, 0.0000, 0.5096)
Ni (0.5000, 0.5000, 0.7695)
W (0.0000, 0.0000, 0.9892)
W (0.5000, 0.5000, 0.2317)


Material: NiW2Br
Method: DFT, PBE
State: optimized geometry

Properties
As for the symmetry: Pm. The calculation puts the uncorrected formation energy at 480 meV/atom. Its density of states at the Fermi level is 2.6 states/eV/f.u.

Cell: 3.1373 3.2627 7.0886 Å, 92.76 90.00 90.00°
Positions (direct):
Br (0.0000, 0.5187, 0.5081)
Ni (0.5000, 0.4881, 0.8042)
W (0.0000, 0.0136, 0.9949)
W (0.5000, 0.4797, 0.1928)


Material: NiW2Br
Method: DFT, PBE
State: optimized geometry

Properties
As for the symmetry: Pmmm. The calculation puts the uncorrected formation energy at 1036 meV/atom. Its density of states at the Fermi level is 5.1 states/eV/f.u.

Cell: 3.0211 4.5096 4.6869 Å, 90.00 90.00 90.00°
Positions (direct):
Br (0.5000, 0.0000, 0.5000)
Ni (0.0000, 0.5000, 0.5000)
W (0.0000, 0.0000, 0.0000)
W (0.5000, 0.5000, 0.0000)


Material: NiW2Br
Method: DFT, PBE
State: optimized geometry

Properties
As for the symmetry: I4/mmm. The calculation puts the uncorrected formation energy at 1192 meV/atom. Its density of states at the Fermi level is 4.5 states/eV/f.u.

Cell: 5.2397 5.2397 5.2397 Å, 137.77 137.77 61.26°
Positions (direct):
Br (0.2500, 0.7500, 0.5000)
Ni (0.7500, 0.2500, 0.5000)
W (0.0000, 0.0000, 0.0000)
W (0.5000, 0.5000, 0.0000)


Material: NiWBr2
Method: DFT, PBE
State: optimized geometry

Properties
As for the symmetry: P4mm. The calculation puts the uncorrected formation energy at 338 meV/atom. Its density of states at the Fermi level is 1.4 states/eV/f.u.

Cell: 3.1389 3.1389 8.2644 Å, 90.00 90.00 90.03°
Positions (direct):
Br (0.0000, 0.0000, 0.9107)
Br (0.5000, 0.5000, 0.3584)
Ni (0.0000, 0.0000, 0.5307)
W (0.5000, 0.5000, 0.7002)


Material: NiW2Br
Method: DFT, PBE
State: optimized geometry

Properties
As for the symmetry: P4mm. The calculation puts the uncorrected formation energy at 644 meV/atom. Its density of states at the Fermi level is 4.9 states/eV/f.u.

Cell: 2.9008 2.9008 8.4480 Å, 90.00 90.00 90.00°
Positions (direct):
Br (0.0000, 0.0000, 0.4517)
Ni (0.5000, 0.5000, 0.8122)
W (0.0000, 0.0000, 0.9983)
W (0.5000, 0.5000, 0.2378)


Material: NiWBr2
Method: DFT, PBE
State: optimized geometry

Properties
As for the symmetry: Imm2. The calculation puts the uncorrected formation energy at 773 meV/atom. Its density of states at the Fermi level is 4.4 states/eV/f.u.

Cell: 6.6581 6.6581 6.6581 Å, 153.43 138.55 49.92°
Last column: magnetic moment on the atom in μB.
Positions (direct):
Br (0.9336, 0.9336, 0.0000)  0.00
Br (0.2221, 0.7221, 0.5000)  -0.01
Ni (0.5918, 0.5918, 0.0000)  0.21
W (0.7525, 0.2525, 0.5000)  0.54


Material: NiWBr2
Method: DFT, PBE
State: optimized geometry

Properties
As for the symmetry: F-43m. The calculation puts the uncorrected formation energy at 1412 meV/atom. Its density of states at the Fermi level is 2.7 states/eV/f.u.

Cell: 4.7218 4.7218 4.7218 Å, 60.00 60.00 60.00°
Last column: magnetic moment on the atom in μB.
Positions (direct):
Ni (0.5000, 0.5000, 0.5000)  -0.14
W (0.2500, 0.2500, 0.2500)  1.69
Br (0.0000, 0.0000, 0.0000)  -0.03
Br (0.7500, 0.7500, 0.7500)  0.07


Material: NiW2Br
Method: DFT, PBE
State: optimized geometry

Properties
As for the symmetry: R-3m. The calculation puts the uncorrected formation energy at 776 meV/atom. Its density of states at the Fermi level is 2.3 states/eV/f.u.

Cell: 8.7650 8.7650 8.7650 Å, 19.05 19.05 19.05°
Positions (direct):
Br (0.2500, 0.2500, 0.2500)
Ni (0.7500, 0.7500, 0.7500)
W (0.0037, 0.0037, 0.0037)
W (0.4963, 0.4963, 0.4963)